{
  "formula": "LiBePb3",
  "functional": "PBE",
  "state": "relaxed",
  "lattice": [[-2.2977, -3.7170, -2.6994], [4.5933, -1.8149, -1.4106], [0.0670, -3.0450, 4.1359]],
  "species": ["Pb", "Pb", "Pb", "Be", "Li"],
  "fractional_positions": [[0.0000, 0.5000, 0.0000], [0.0000, 0.0000, 0.5000], [0.5000, 0.0000, 0.0000], [0.5000, 0.5000, 0.5000], [0.0000, 0.0000, 0.0000]],
  "e_form_ev_per_atom": 0.62,
  "e_tot_ev_per_atom": -2.73,
  "de_polymorph_mev_per_atom": 349,
  "m_tot_mub_per_fu": 0.00
}

***

{
  "formula": "Pu6TcPd3",
  "functional": "PBE",
  "state": "relaxed",
  "lattice": [[5.6676, 0.0000, 0.0000], [-2.8338, 4.9083, 0.0000], [0.0000, 0.0000, 13.2400]],
  "species": ["Pu", "Pu", "Pu", "Pu", "Pu", "Pu", "Pu", "Pu", "Pu", "Pu", "Pu", "Pu", "Tc", "Tc", "Pd", "Pd", "Pd", "Pd", "Pd", "Pd"],
  "fractional_positions": [[0.1359, 0.7701, 0.6647], [0.2299, 0.3657, 0.6647], [0.8641, 0.2299, 0.1647], [0.3657, 0.2299, 0.3353], [0.6343, 0.8641, 0.6647], [0.7701, 0.6343, 0.1647], [0.8641, 0.6343, 0.3353], [0.6343, 0.7701, 0.8353], [0.3657, 0.1359, 0.1647], [0.1359, 0.3657, 0.8353], [0.7701, 0.1359, 0.3353], [0.2299, 0.8641, 0.8353], [0.6667, 0.3333, 0.7500], [0.3333, 0.6667, 0.2500], [0.0000, 0.0000, 0.5000], [0.0000, 0.0000, 0.0000], [0.6667, 0.3333, 0.9585], [0.3333, 0.6667, 0.4585], [0.3333, 0.6667, 0.0415], [0.6667, 0.3333, 0.5415]],
  "e_form_ev_per_atom": 0.31,
  "e_tot_ev_per_atom": -10.88,
  "m_tot_mub_per_fu": 4.89
}

***

{
  "formula": "CuHg2Bi2",
  "functional": "PBE",
  "state": "relaxed",
  "lattice": [[-6.1355, -1.8851, 2.8684], [-1.9936, -2.8254, -6.1211], [2.0598, -4.5378, 1.4237]],
  "species": ["Bi", "Bi", "Bi", "Bi", "Cu", "Cu", "Hg", "Hg", "Hg", "Hg"],
  "fractional_positions": [[0.1719, 0.6719, 0.5000], [0.6719, 0.8281, 0.5000], [0.8281, 0.3281, 0.5000], [0.3281, 0.1719, 0.5000], [0.0000, 0.0000, 0.0000], [0.5000, 0.5000, 0.0000], [0.3475, 0.8475, 0.0000], [0.8475, 0.6525, 0.0000], [0.6525, 0.1525, 0.0000], [0.1525, 0.3475, 0.0000]],
  "e_form_ev_per_atom": 0.27,
  "e_tot_ev_per_atom": -2.22,
  "de_polymorph_mev_per_atom": 71,
  "m_tot_mub_per_fu": 0.00
}

***

{
  "formula": "Ti2FeRh",
  "functional": "PBE",
  "state": "relaxed",
  "lattice": [[-3.0867, 0.2047, -0.1483], [-0.2656, -4.2442, -0.3309], [-0.2251, -0.3171, 4.2476]],
  "species": ["Rh", "Fe", "Ti", "Ti"],
  "fractional_positions": [[0.5000, 0.0000, 0.0000], [0.5000, 0.5000, 0.5000], [0.0000, 0.0000, 0.5000], [0.0000, 0.5000, 0.0000]],
  "e_form_ev_per_atom": -0.55,
  "e_tot_ev_per_atom": -8.45,
  "m_tot_mub_per_fu": 0.44
}

***

{
  "formula": "CaVIr",
  "functional": "PBE",
  "state": "relaxed",
  "lattice": [[5.1690, 0.0000, 0.0000], [0.0000, 5.7449, 0.0000], [0.0000, 0.0000, 7.3191]],
  "species": ["Ca", "Ca", "Ca", "Ca", "Ir", "Ir", "Ir", "Ir", "V", "V", "V", "V"],
  "fractional_positions": [[0.0000, 0.2500, 0.1323], [0.0000, 0.7500, 0.8677], [0.5000, 0.7500, 0.6323], [0.5000, 0.2500, 0.3677], [0.0000, 0.0000, 0.5000], [0.0000, 0.5000, 0.5000], [0.5000, 0.5000, 0.0000], [0.5000, 0.0000, 0.0000], [0.2500, 0.2500, 0.7500], [0.2500, 0.7500, 0.2500], [0.7500, 0.7500, 0.2500], [0.7500, 0.2500, 0.7500]],
  "e_form_ev_per_atom": -0.19,
  "e_tot_ev_per_atom": -6.85,
  "de_polymorph_mev_per_atom": 42,
  "m_tot_mub_per_fu": 0.00
}

***

{
  "formula": "ZrCo2Hg",
  "functional": "PBE",
  "state": "relaxed",
  "lattice": [[4.5684, -0.0266, 0.0314], [3.4460, 2.9993, 0.0314], [1.2697, 0.4710, 4.7465]],
  "species": ["Co", "Co", "Hg", "Zr"],
  "fractional_positions": [[0.0040, 0.0040, 0.9827], [0.4960, 0.4960, 0.5173], [0.2500, 0.2500, 0.2500], [0.7500, 0.7500, 0.7500]],
  "e_form_ev_per_atom": 0.19,
  "e_tot_ev_per_atom": -5.57,
  "m_tot_mub_per_fu": 1.44
}

***

{
  "formula": "ZrSiNiRh2",
  "functional": "PBE",
  "state": "relaxed",
  "lattice": [[-1.1636, 3.3062, 3.2579], [-4.3081, -1.6360, 0.1215], [1.2434, -3.0140, 3.5027]],
  "species": ["Ni", "Si", "Rh", "Rh", "Zr"],
  "fractional_positions": [[0.0000, 0.5000, 0.0000], [0.5000, 0.5000, 0.5000], [0.0000, 0.0000, 0.5000], [0.5000, 0.0000, 0.0000], [0.0000, 0.0000, 0.0000]],
  "e_form_raw_ev_per_atom": 1.14,
  "e_tot_ev_per_atom": -5.75,
  "m_tot_mub_per_fu": 0.00
}

***

{
  "formula": "Er6CdIr5",
  "functional": "PBE",
  "state": "relaxed",
  "lattice": [[4.6882, 0.0020, -0.9670], [-0.0031, 7.1043, -0.0007], [-0.8551, 0.0004, 7.5182]],
  "species": ["Cd", "Ir", "Ir", "Ir", "Ir", "Ir", "Er", "Er", "Er", "Er", "Er", "Er"],
  "fractional_positions": [[0.0000, 0.0000, 0.0000], [0.6676, 0.5000, 0.3353], [0.3390, 0.0000, 0.6763], [0.0000, 0.5000, 0.0000], [0.6610, 0.0000, 0.3237], [0.3324, 0.5000, 0.6647], [0.8280, 0.7462, 0.6562], [0.8280, 0.2538, 0.6562], [0.5000, 0.2637, 0.0000], [0.5000, 0.7363, 0.0000], [0.1720, 0.7462, 0.3438], [0.1720, 0.2538, 0.3438]],
  "e_form_ev_per_atom": -0.78,
  "e_tot_ev_per_atom": -6.83,
  "m_tot_mub_per_fu": 0.00
}